ScTaMn2: optimized geometry, PBE.

a = 3.0205 Å, b = 3.0205 Å, c = 24.3332 Å
α = 90.00°, β = 90.00°, γ = 120.00°
Fractional coordinates of all 12 atoms:
Sc 0.0000 0.0000 0.0000
Sc 0.3333 0.6667 0.6667
Sc 0.6667 0.3333 0.3333
Ta 0.0000 0.0000 0.5000
Ta 0.3333 0.6667 0.1667
Ta 0.6667 0.3333 0.8333
Mn 0.0000 0.0000 0.2443
Mn 0.0000 0.0000 0.7557
Mn 0.3333 0.6667 0.4223
Mn 0.3333 0.6667 0.9110
Mn 0.6667 0.3333 0.0890
Mn 0.6667 0.3333 0.5777

The value obtained for the volume is 16.02 A^3/atom. Its total energy is -105.75 eV per cell. The value obtained for the energy relative to the elements is 319 meV per atom. The value obtained for the total moment is 7.2 Bohr magnetons per cell.